{
  "formula": "AlNi5",
  "functional": "PBE-GGA",
  "state": "optimized geometry",
  "lattice": [[4.590, 0.000, 0.000], [-2.295, 3.975, 0.000], [0.000, 0.000, 15.248]],
  "species": ["Al", "Al", "Al", "Al", "Ni", "Ni", "Ni", "Ni", "Ni", "Ni", "Ni", "Ni", "Ni", "Ni", "Ni", "Ni", "Ni", "Ni", "Ni", "Ni", "Ni", "Ni", "Ni", "Ni"],
  "fractional_positions": [[0.333, 0.667, 0.148], [0.333, 0.667, 0.352], [0.667, 0.333, 0.648], [0.667, 0.333, 0.852], [0.000, 0.000, 0.093], [0.000, 0.000, 0.407], [0.000, 0.000, 0.593], [0.000, 0.000, 0.907], [0.000, 0.500, 0.000], [0.000, 0.500, 0.500], [0.163, 0.326, 0.750], [0.163, 0.837, 0.750], [0.326, 0.163, 0.250], [0.333, 0.667, 0.625], [0.333, 0.667, 0.875], [0.500, 0.000, 0.000], [0.500, 0.000, 0.500], [0.500, 0.500, 0.000], [0.500, 0.500, 0.500], [0.667, 0.333, 0.125], [0.667, 0.333, 0.375], [0.674, 0.837, 0.750], [0.837, 0.163, 0.250], [0.837, 0.674, 0.250]],
  "de_polymorph_ev_per_atom": 0.000,
  "sg": "No. 194"
}


{
  "formula": "Al12Ni17",
  "functional": "PBE-GGA",
  "state": "optimized geometry",
  "lattice": [[-4.447, 4.447, 4.447], [4.447, -4.447, 4.447], [4.447, 4.447, -4.447]],
  "species": ["Al", "Al", "Al", "Al", "Al", "Al", "Al", "Al", "Al", "Al", "Al", "Al", "Ni", "Ni", "Ni", "Ni", "Ni", "Ni", "Ni", "Ni", "Ni", "Ni", "Ni", "Ni", "Ni", "Ni", "Ni", "Ni", "Ni"],
  "fractional_positions": [[0.000, 0.417, 0.701], [0.000, 0.701, 0.417], [0.284, 0.583, 0.583], [0.299, 0.299, 0.716], [0.299, 0.716, 0.299], [0.417, 0.000, 0.701], [0.417, 0.701, 0.000], [0.583, 0.284, 0.583], [0.583, 0.583, 0.284], [0.701, 0.000, 0.417], [0.701, 0.417, 0.000], [0.716, 0.299, 0.299], [0.000, 0.000, 0.000], [0.000, 0.000, 0.659], [0.000, 0.195, 0.382], [0.000, 0.382, 0.195], [0.000, 0.659, 0.000], [0.187, 0.805, 0.805], [0.195, 0.000, 0.382], [0.195, 0.382, 0.000], [0.341, 0.341, 0.341], [0.382, 0.000, 0.195], [0.382, 0.195, 0.000], [0.618, 0.618, 0.813], [0.618, 0.813, 0.618], [0.659, 0.000, 0.000], [0.805, 0.187, 0.805], [0.805, 0.805, 0.187], [0.813, 0.618, 0.618]],
  "de_polymorph_ev_per_atom": 0.000,
  "sg": "No. 217"
}


{
  "formula": "Al9Ni4",
  "functional": "PBE-GGA",
  "state": "optimized geometry",
  "lattice": [[2.484, 1.434, 8.910], [-2.484, 1.434, 8.910], [0.000, -2.868, 8.910]],
  "species": ["Al", "Al", "Al", "Al", "Al", "Al", "Al", "Al", "Al", "Ni", "Ni", "Ni", "Ni"],
  "fractional_positions": [[0.000, 0.000, 0.000], [0.091, 0.091, 0.584], [0.091, 0.584, 0.091], [0.167, 0.167, 0.167], [0.416, 0.909, 0.909], [0.584, 0.091, 0.091], [0.833, 0.833, 0.833], [0.909, 0.416, 0.909], [0.909, 0.909, 0.416], [0.338, 0.338, 0.338], [0.443, 0.443, 0.443], [0.557, 0.557, 0.557], [0.662, 0.662, 0.662]],
  "de_polymorph_ev_per_atom": 0.167,
  "sg": "No. 166"
}


{
  "formula": "Al16Ni13",
  "functional": "PBE-GGA",
  "state": "optimized geometry",
  "lattice": [[-4.540, 4.540, 4.540], [4.540, -4.540, 4.540], [4.540, 4.540, -4.540]],
  "species": ["Al", "Al", "Al", "Al", "Al", "Al", "Al", "Al", "Al", "Al", "Al", "Al", "Al", "Al", "Al", "Al", "Ni", "Ni", "Ni", "Ni", "Ni", "Ni", "Ni", "Ni", "Ni", "Ni", "Ni", "Ni", "Ni"],
  "fractional_positions": [[0.000, 0.000, 0.705], [0.000, 0.415, 0.695], [0.000, 0.695, 0.415], [0.000, 0.705, 0.000], [0.280, 0.585, 0.585], [0.295, 0.295, 0.295], [0.305, 0.305, 0.720], [0.305, 0.720, 0.305], [0.415, 0.000, 0.695], [0.415, 0.695, 0.000], [0.585, 0.280, 0.585], [0.585, 0.585, 0.280], [0.695, 0.000, 0.415], [0.695, 0.415, 0.000], [0.705, 0.000, 0.000], [0.720, 0.305, 0.305], [0.000, 0.000, 0.000], [0.000, 0.195, 0.386], [0.000, 0.386, 0.195], [0.191, 0.805, 0.805], [0.195, 0.000, 0.386], [0.195, 0.386, 0.000], [0.386, 0.000, 0.195], [0.386, 0.195, 0.000], [0.614, 0.614, 0.809], [0.614, 0.809, 0.614], [0.805, 0.191, 0.805], [0.805, 0.805, 0.191], [0.809, 0.614, 0.614]],
  "de_polymorph_ev_per_atom": 0.000,
  "sg": "No. 217"
}


{
  "formula": "Al7Ni6",
  "functional": "PBE-GGA",
  "state": "optimized geometry",
  "lattice": [[2.438, 1.407, 8.106], [-2.438, 1.407, 8.106], [0.000, -2.815, 8.106]],
  "species": ["Al", "Al", "Al", "Al", "Al", "Al", "Al", "Ni", "Ni", "Ni", "Ni", "Ni", "Ni"],
  "fractional_positions": [[0.000, 0.000, 0.000], [0.165, 0.165, 0.165], [0.342, 0.342, 0.342], [0.448, 0.448, 0.448], [0.552, 0.552, 0.552], [0.658, 0.658, 0.658], [0.835, 0.835, 0.835], [0.090, 0.090, 0.583], [0.090, 0.583, 0.090], [0.417, 0.910, 0.910], [0.583, 0.090, 0.090], [0.910, 0.417, 0.910], [0.910, 0.910, 0.417]],
  "de_polymorph_ev_per_atom": 0.000,
  "sg": "No. 166"
}


{
  "formula": "AlNi2",
  "functional": "PBE-GGA",
  "state": "optimized geometry",
  "lattice": [[2.324, -4.044, 0.000], [2.324, 4.044, 0.000], [0.000, 0.000, 7.755]],
  "species": ["Al", "Al", "Al", "Al", "Ni", "Ni", "Ni", "Ni", "Ni", "Ni", "Ni", "Ni"],
  "fractional_positions": [[0.000, 0.000, 0.000], [0.000, 0.000, 0.500], [0.204, 0.796, 0.750], [0.796, 0.204, 0.250], [0.202, 0.309, 0.750], [0.309, 0.202, 0.250], [0.322, 0.678, 0.065], [0.322, 0.678, 0.435], [0.678, 0.322, 0.565], [0.678, 0.322, 0.935], [0.691, 0.798, 0.750], [0.798, 0.691, 0.250]],
  "final_energy_ev_per_fu": -15.72,
  "sg": "No. 63"
}


{
  "formula": "Al9Ni4",
  "functional": "PBE-GGA",
  "state": "optimized geometry",
  "lattice": [[2.623, 1.514, 8.057], [-2.623, 1.514, 8.057], [0.000, -3.029, 8.057]],
  "species": ["Al", "Al", "Al", "Al", "Al", "Al", "Al", "Al", "Al", "Ni", "Ni", "Ni", "Ni"],
  "fractional_positions": [[0.000, 0.000, 0.000], [0.086, 0.086, 0.577], [0.086, 0.577, 0.086], [0.423, 0.914, 0.914], [0.449, 0.449, 0.449], [0.551, 0.551, 0.551], [0.577, 0.086, 0.086], [0.914, 0.423, 0.914], [0.914, 0.914, 0.423], [0.167, 0.167, 0.167], [0.343, 0.343, 0.343], [0.657, 0.657, 0.657], [0.833, 0.833, 0.833]],
  "de_polymorph_ev_per_atom": 0.129,
  "sg": "No. 166"
}


{
  "formula": "AlNi2",
  "functional": "PBE-GGA",
  "state": "optimized geometry",
  "lattice": [[8.772, 0.000, 0.000], [0.000, 8.772, 0.000], [0.000, 0.000, 4.599]],
  "species": ["Al", "Al", "Al", "Al", "Al", "Al", "Al", "Al", "Al", "Al", "Ni", "Ni", "Ni", "Ni", "Ni", "Ni", "Ni", "Ni", "Ni", "Ni", "Ni", "Ni", "Ni", "Ni", "Ni", "Ni", "Ni", "Ni", "Ni", "Ni"],
  "fractional_positions": [[0.000, 0.000, 0.000], [0.066, 0.282, 0.000], [0.218, 0.566, 0.500], [0.282, 0.066, 0.000], [0.434, 0.782, 0.500], [0.500, 0.500, 0.500], [0.566, 0.218, 0.500], [0.718, 0.934, 0.000], [0.782, 0.434, 0.500], [0.934, 0.718, 0.000], [0.041, 0.364, 0.500], [0.098, 0.098, 0.500], [0.136, 0.541, 0.000], [0.179, 0.821, 0.251], [0.179, 0.821, 0.749], [0.321, 0.321, 0.249], [0.321, 0.321, 0.751], [0.364, 0.041, 0.500], [0.402, 0.598, 0.000], [0.459, 0.864, 0.000], [0.541, 0.136, 0.000], [0.598, 0.402, 0.000], [0.636, 0.959, 0.500], [0.679, 0.679, 0.249], [0.679, 0.679, 0.751], [0.821, 0.179, 0.251], [0.821, 0.179, 0.749], [0.864, 0.459, 0.000], [0.902, 0.902, 0.500], [0.959, 0.636, 0.500]],
  "final_energy_ev_per_fu": -15.88,
  "sg": "No. 136"
}